# 1
Density functional theory data (meta-GGA SCAN) for a crystal of LiCr2Cl relaxed with PBEsol.

## Properties
Electronic total energy: -10.996 eV per atom
Energy above the lowest structure with this stoichiometry: 1221.1 meV per atom

Lattice parameters (Å, degrees): 4.1815 5.4356 5.4356 81.49 67.38 67.38
Fractional positions:
Cr 0.0459 0.0791 0.5791
Cr 0.7041 0.9209 0.4209
Cr 0.3750 0.5791 0.9209
Cr 0.8750 0.4209 0.0791
Li 0.2500 0.5000 0.5000
Li 0.5000 0.0000 0.0000
Cl 0.7500 0.5000 0.5000
Cl 0.0000 0.0000 0.0000

---

# 2
Density functional theory data (meta-GGA SCAN) for a crystal of LiCr2Cl relaxed with PBEsol.

## Properties
Electronic total energy: -12.217 eV per atom
Energy above the lowest structure with this stoichiometry: 0.0 meV per atom

Lattice parameters (Å, degrees): 3.0629 3.0986 6.2339 104.40 90.00 90.00
Each line ends with the local moment (μB).
Fractional positions:
Cl 0.5000 0.0218 0.6683  -0.01
Cr 0.0000 0.2169 0.0597  3.20
Cr 0.5000 0.8064 0.2376  -3.15
Li 0.0000 0.4549 0.5344  0.00

---

# 3
Density functional theory data (meta-GGA SCAN) for a crystal of Mg2CrCl relaxed with PBEsol.

## Properties
Electronic total energy: -9.298 eV per atom
Energy above the lowest structure with this stoichiometry: 0.0 meV per atom

Lattice parameters (Å, degrees): 3.1911 3.1911 8.7050 90.00 90.00 115.56
Each line ends with the local moment (μB).
Fractional positions:
Cl 0.0000 0.0000 0.4923  0.02
Cr 0.5000 0.5000 0.2683  4.07
Mg 0.0000 0.0000 0.0134  -0.02
Mg 0.5000 0.5000 0.7259  0.00

---

# 4
Density functional theory data (meta-GGA SCAN) for a crystal of Mg2CrCl relaxed with PBEsol.

## Properties
Electronic total energy: -9.215 eV per atom
Energy above the lowest structure with this stoichiometry: 83.0 meV per atom

Lattice parameters (Å, degrees): 3.1956 4.8912 5.0273 90.00 89.91 90.00
Each line ends with the local moment (μB).
Fractional positions:
Cl 0.3757 0.0000 0.5122  -0.03
Cr 0.3748 0.5000 0.7947  3.79
Mg 0.8742 0.0000 0.9061  -0.05
Mg 0.8753 0.5000 0.2870  -0.04

---

# 5
Density functional theory data (meta-GGA SCAN) for a crystal of MgCr2Cl relaxed with PBEsol.

## Properties
Electronic total energy: -12.357 eV per atom

Lattice parameters (Å, degrees): 3.0834 3.0834 7.6590 90.00 90.00 90.00
Each line ends with the local moment (μB).
Fractional positions:
Cl 0.5000 0.5000 0.5000  0.04
Cr 0.0000 0.0000 0.7327  4.09
Cr 0.0000 0.0000 0.2673  4.09
Mg 0.5000 0.5000 0.0000  -0.03

---

# 6
Density functional theory data (meta-GGA SCAN) for a crystal of MgCrCl2 relaxed with PBEsol.

## Properties
Electronic total energy: -10.632 eV per atom

Lattice parameters (Å, degrees): 3.2251 5.9624 5.9610 71.08 74.31 74.31
Each line ends with the local moment (μB).
Fractional positions:
Cl 0.1132 0.7648 0.0089  -0.01
Cl 0.1161 0.2574 0.5104  -0.01
Cr 0.5214 0.6032 0.3541  3.99
Mg 0.7494 0.8746 0.6266  -0.03

---

# 7
Density functional theory data (meta-GGA SCAN) for a crystal of Mg2CrCl relaxed with PBEsol.

## Properties
Electronic total energy: -9.054 eV per atom
Energy above the lowest structure with this stoichiometry: 243.9 meV per atom

Lattice parameters (Å, degrees): 4.1177 4.1177 5.5737 111.68 111.68 90.00
Each line ends with the local moment (μB).
Fractional positions:
Cl 0.5000 0.5000 0.0000  0.03
Cr 0.0000 0.0000 0.0000  4.17
Mg 0.7500 0.2500 0.5000  -0.01
Mg 0.2500 0.7500 0.5000  -0.01

---

# 8
Density functional theory data (meta-GGA SCAN) for a crystal of MgCrPCl2 relaxed with PBEsol.

## Properties
Electronic total energy: -10.449 eV per atom
Energy above the lowest structure with this stoichiometry: 0.0 meV per atom

Lattice parameters (Å, degrees): 4.6016 4.6016 4.8253 90.00 90.00 90.00
Each line ends with the local moment (μB).
Fractional positions:
Cr 0.0000 0.0000 0.0000  3.10
Mg 0.5000 0.5000 0.5000  0.04
P 0.0000 0.0000 0.5000  -0.23
Cl 0.0000 0.5000 0.0000  -0.01
Cl 0.5000 0.0000 0.0000  -0.01

---

# 9
Density functional theory data (meta-GGA SCAN) for a crystal of MgCrPCl2 relaxed with PBEsol.

## Properties
Electronic total energy: -10.255 eV per atom
Energy above the lowest structure with this stoichiometry: 193.8 meV per atom

Lattice parameters (Å, degrees): 4.5364 4.5364 5.5593 90.00 90.00 90.00
Each line ends with the local moment (μB).
Fractional positions:
Cr 0.5000 0.5000 0.5000  4.15
Mg 0.0000 0.0000 0.0000  -0.01
P 0.0000 0.0000 0.5000  -0.64
Cl 0.0000 0.5000 0.0000  -0.05
Cl 0.5000 0.0000 0.0000  -0.05

---

# 10
Density functional theory data (meta-GGA SCAN) for a crystal of Rb6Mn2CrCl12 relaxed with PBEsol.

## Properties
Electronic total energy: -15.035 eV per atom

Lattice parameters (Å, degrees): 4.9746 4.9746 24.1513 95.91 95.91 90.00
Each line ends with the local moment (μB).
Fractional positions:
Rb 0.4539 0.4539 0.9078  0.00
Rb 0.7864 0.7864 0.5727  0.00
Rb 0.1187 0.1187 0.2374  0.00
Rb 0.8813 0.8813 0.7626  0.00
Rb 0.2136 0.2136 0.4273  0.00
Rb 0.5461 0.5461 0.0922  0.00
Mn 0.3338 0.3338 0.6675  4.54
Mn 0.6662 0.6662 0.3325  4.54
Cr 0.0000 0.0000 0.0000  3.72
Cl 0.3860 0.3860 0.7720  0.03
Cl 0.7184 0.7184 0.4368  0.03
Cl 0.0504 0.0504 0.1008  -0.01
Cl 0.9496 0.9496 0.8992  -0.01
Cl 0.2816 0.2816 0.5632  0.03
Cl 0.6140 0.6140 0.2280  0.03
Cl 0.0000 0.5000 0.0000  0.00
Cl 0.3338 0.8338 0.6677  0.05
Cl 0.6662 0.1662 0.3323  0.05
Cl 0.8338 0.3338 0.6677  0.05
Cl 0.1662 0.6662 0.3323  0.05
Cl 0.5000 0.0000 0.0000  0.00

---

# 11
Density functional theory data (meta-GGA SCAN) for a crystal of CrMoCl3 relaxed with PBEsol.

## Properties
Electronic total energy: -15.695 eV per atom

Lattice parameters (Å, degrees): 4.7740 4.7740 4.7740 90.00 90.00 90.00
Each line ends with the local moment (μB).
Fractional positions:
Cr 0.0000 0.0000 0.0000  3.67
Mo 0.5000 0.5000 0.5000  4.39
Cl 0.0000 0.5000 0.0000  0.01
Cl 0.0000 0.0000 0.5000  0.01
Cl 0.5000 0.0000 0.0000  0.01

---

# 12
Density functional theory data (meta-GGA SCAN) for a crystal of Cr2MoCl relaxed with PBEsol.

## Properties
Electronic total energy: -19.197 eV per atom
Energy above the lowest structure with this stoichiometry: 349.4 meV per atom

Lattice parameters (Å, degrees): 2.8368 4.2901 4.7036 90.54 107.55 90.00
Fractional positions:
Cr 0.9748 0.0134 0.9496
Cr 0.2565 0.2161 0.5130
Mo 0.5282 0.4506 0.0564
Cl 0.7405 0.8200 0.4811

---

# 13
Density functional theory data (meta-GGA SCAN) for a crystal of Cr2MoCl relaxed with PBEsol.

## Properties
Electronic total energy: -19.235 eV per atom
Energy above the lowest structure with this stoichiometry: 310.9 meV per atom

Lattice parameters (Å, degrees): 2.8216 4.3167 4.2543 90.00 90.00 90.00
Each line ends with the local moment (μB).
Fractional positions:
Cr 0.0000 0.0000 0.0000  2.56
Cr 0.5000 0.5000 0.0000  -2.69
Mo 0.5000 0.0000 0.5000  -0.36
Cl 0.0000 0.5000 0.5000  0.08

---

# 14
Density functional theory data (meta-GGA SCAN) for a crystal of Cr2MoCl relaxed with PBEsol.

## Properties
Electronic total energy: -19.546 eV per atom
Energy above the lowest structure with this stoichiometry: 0.0 meV per atom

Lattice parameters (Å, degrees): 2.8234 2.8234 7.9748 79.80 79.80 60.00
Each line ends with the local moment (μB).
Fractional positions:
Cr 0.0071 0.0071 0.9787  -2.34
Cr 0.7401 0.7401 0.7797  1.75
Mo 0.5005 0.5005 0.4985  -0.07
Cl 0.2523 0.2523 0.2430  0.00

---

# 15
Density functional theory data (meta-GGA SCAN) for a crystal of CrMoCl relaxed with PBEsol.

## Properties
Electronic total energy: -19.539 eV per atom

Lattice parameters (Å, degrees): 2.8717 3.9695 4.3181 117.36 109.42 90.00
Fractional positions:
Cr 0.6736 0.6736 0.3472
Mo 0.3328 0.3328 0.6656
Cl 0.9936 0.9936 0.9873

---

# 16
Density functional theory data (meta-GGA SCAN) for a crystal of Cr3MoCl relaxed with PBEsol.

## Properties
Electronic total energy: -18.518 eV per atom

Lattice parameters (Å, degrees): 4.0482 4.0482 4.0482 90.00 90.00 90.00
Fractional positions:
Cr 0.0000 0.5000 0.0000
Cr 0.0000 0.0000 0.5000
Cr 0.5000 0.0000 0.0000
Mo 0.5000 0.5000 0.5000
Cl 0.0000 0.0000 0.0000

---

# 17
Density functional theory data (meta-GGA SCAN) for a crystal of Cr2SbMoCl relaxed with PBEsol.

## Properties
Electronic total energy: -22.534 eV per atom

Lattice parameters (Å, degrees): 4.7436 4.7436 5.1199 90.00 90.00 90.00
Each line ends with the local moment (μB).
Fractional positions:
Sb 0.0000 0.0000 0.5000  -0.03
Mo 0.0000 0.0000 0.0000  -1.14
Cl 0.5000 0.5000 0.5000  0.08
Cr 0.0000 0.5000 0.0000  3.50
Cr 0.5000 0.0000 0.0000  3.50

---

# 18
Density functional theory data (meta-GGA SCAN) for a crystal of CrS2NCl relaxed with PBEsol.

## Properties
Electronic total energy: -9.509 eV per atom

Lattice parameters (Å, degrees): 3.3474 4.7405 4.7405 90.00 90.00 90.00
Each line ends with the local moment (μB).
Fractional positions:
Cr 0.5000 0.5000 0.5000  3.88
S 0.0000 0.0000 0.5000  -0.17
S 0.0000 0.5000 0.0000  -0.17
N 0.5000 0.0000 0.0000  0.21
Cl 0.0000 0.0000 0.0000  0.00

---

# 19
Density functional theory data (meta-GGA SCAN) for a crystal of CrSeN2Cl relaxed with PBEsol.

## Properties
Electronic total energy: -12.550 eV per atom

Lattice parameters (Å, degrees): 3.6271 3.6271 5.1669 90.00 90.00 90.00
Each line ends with the local moment (μB).
Fractional positions:
Cr 0.0000 0.0000 0.0000  -1.82
N 0.0000 0.5000 0.0000  0.83
N 0.5000 0.0000 0.0000  0.83
Se 0.0000 0.0000 0.5000  0.10
Cl 0.5000 0.5000 0.5000  0.03

---

# 20
Density functional theory data (meta-GGA SCAN) for a crystal of Na3CrCl relaxed with PBEsol.

## Properties
Electronic total energy: -8.111 eV per atom

Lattice parameters (Å, degrees): 5.3106 5.3106 5.3106 90.00 90.00 90.00
Each line ends with the local moment (μB).
Fractional positions:
Cr 0.5000 0.5000 0.5000  4.37
Na 0.0000 0.5000 0.0000  0.01
Na 0.0000 0.0000 0.5000  0.01
Na 0.5000 0.0000 0.0000  0.01
Cl 0.0000 0.0000 0.0000  0.03

---

# 21
Density functional theory data (meta-GGA SCAN) for a crystal of NbCrCl2 relaxed with PBEsol.

## Properties
Electronic total energy: -16.995 eV per atom

Lattice parameters (Å, degrees): 3.0360 3.0360 8.3375 79.51 79.51 60.00
Each line ends with the local moment (μB).
Fractional positions:
Cr 0.5000 0.5000 0.5000  2.44
Nb 0.0000 0.0000 0.0000  -0.05
Cl 0.8992 0.8992 0.3023  0.01
Cl 0.1008 0.1008 0.6977  0.01

---

# 22
Density functional theory data (meta-GGA SCAN) for a crystal of NbCrCl3 relaxed with PBEsol.

## Properties
Electronic total energy: -15.512 eV per atom

Lattice parameters (Å, degrees): 4.8432 4.8432 4.8432 90.00 90.00 90.00
Each line ends with the local moment (μB).
Fractional positions:
Cr 0.5000 0.5000 0.5000  4.57
Nb 0.0000 0.0000 0.0000  1.98
Cl 0.0000 0.5000 0.0000  0.03
Cl 0.0000 0.0000 0.5000  0.03
Cl 0.5000 0.0000 0.0000  0.03

---

# 23
Density functional theory data (meta-GGA SCAN) for a crystal of NbCrPCl2 relaxed with PBEsol.

## Properties
Electronic total energy: -15.488 eV per atom

Lattice parameters (Å, degrees): 4.4517 4.4517 4.8991 90.00 90.00 90.00
Each line ends with the local moment (μB).
Fractional positions:
Cr 0.0000 0.0000 0.0000  3.20
Nb 0.5000 0.5000 0.5000  2.31
P 0.0000 0.0000 0.5000  -0.22
Cl 0.0000 0.5000 0.0000  0.02
Cl 0.5000 0.0000 0.0000  0.02

---

# 24
Density functional theory data (meta-GGA SCAN) for a crystal of Nb2CrSbCl relaxed with PBEsol.

## Properties
Electronic total energy: -24.736 eV per atom

Lattice parameters (Å, degrees): 4.9538 5.1668 5.1668 90.00 90.00 90.00
Each line ends with the local moment (μB).
Fractional positions:
Sb 0.0000 0.0000 0.0000  0.01
Nb 0.0000 0.0000 0.5000  -1.94
Nb 0.0000 0.5000 0.0000  -1.94
Cl 0.5000 0.5000 0.5000  -0.06
Cr 0.5000 0.0000 0.0000  4.01

---

# 25
Density functional theory data (meta-GGA SCAN) for a crystal of Cr4NiCl relaxed with PBEsol.

## Properties
Electronic total energy: -15.326 eV per atom

Lattice parameters (Å, degrees): 4.7058 4.7058 4.7058 60.00 60.00 60.00
Fractional positions:
Cl 0.0000 0.0000 0.0000
Cr 0.3762 0.3762 0.3762
Cr 0.3762 0.3762 0.8715
Cr 0.8715 0.3762 0.3762
Cr 0.3762 0.8715 0.3762
Ni 0.7500 0.7500 0.7500

---

# 26
Density functional theory data (meta-GGA SCAN) for a crystal of CrNiCl relaxed with PBEsol.

## Properties
Electronic total energy: -13.504 eV per atom

Lattice parameters (Å, degrees): 3.9962 3.9962 3.9962 60.00 60.00 60.00
Each line ends with the local moment (μB).
Fractional positions:
Ni 0.5000 0.5000 0.5000  0.29
Cl 0.2500 0.2500 0.2500  0.06
Cr 0.0000 0.0000 0.0000  3.94

---

# 27
Density functional theory data (meta-GGA SCAN) for a crystal of Cr2NiCl relaxed with PBEsol.

## Properties
Electronic total energy: -14.907 eV per atom
Energy above the lowest structure with this stoichiometry: 0.0 meV per atom

Lattice parameters (Å, degrees): 2.9124 3.1899 6.0654 90.00 90.00 90.00
Each line ends with the local moment (μB).
Fractional positions:
Ni 0.5000 0.0000 0.0000  0.22
Cl 0.5000 0.5000 0.5000  0.00
Cr 0.0000 0.5000 0.8262  0.66
Cr 0.0000 0.5000 0.1738  0.66

---

# 28
Density functional theory data (meta-GGA SCAN) for a crystal of Cr2NiCl relaxed with PBEsol.

## Properties
Electronic total energy: -14.367 eV per atom
Energy above the lowest structure with this stoichiometry: 540.5 meV per atom

Lattice parameters (Å, degrees): 3.9970 3.9970 3.9970 60.00 60.00 60.00
Fractional positions:
Ni 0.5000 0.5000 0.5000
Cl 0.0000 0.0000 0.0000
Cr 0.2500 0.2500 0.2500
Cr 0.7500 0.7500 0.7500

---

# 29
Density functional theory data (meta-GGA SCAN) for a crystal of CrNiSCl2 relaxed with PBEsol.

## Properties
Electronic total energy: -12.220 eV per atom

Lattice parameters (Å, degrees): 4.3873 4.3873 4.6742 90.00 90.00 90.00
Each line ends with the local moment (μB).
Fractional positions:
Ni 0.0000 0.0000 0.0000  -0.08
S 0.0000 0.0000 0.5000  -0.16
Cl 0.0000 0.5000 0.0000  0.01
Cl 0.5000 0.0000 0.0000  0.01
Cr 0.5000 0.5000 0.5000  4.08

---

Calculated values (meV/atom) of formation energy (no corrections) for the records, taken in order: 788.1 -432.9 -220.6 -137.6 72.8 -803.3 23.3 -506.7 -312.9 -1936.3 -254.7 711.4 672.9 362.0 876.7 1085.8 844.9 1473.4 454.2 -309.1 -127.8 -422.3 85.4 1240.9 955.3 674.7 323.0 863.5 -191.8.
Calculated values (g cm⁻³) of mass density for the records, taken in order: 4.6 4.2 2.8 2.9 3.7 2.4 2.8 2.9 2.6 3.1 3.9 7.2 7.5 7.3 7.5 7.2 5.1 3.7 4.7 1.7 5.5 3.7 4.2 5.0 6.8 5.4 5.8 7.3 3.9.